Record 1
The following is a DFT calculation (GGA-PBE) of CdTeRhSe2 after structural relaxation.

```
5
Lattice="-3.345 -2.029 -2.762 4.041 -2.809 -2.831 -0.355 -3.634 3.099" Properties=species:S:1:pos:R:3 pbc="T T T"
Te 2.021 -1.404 -1.415
Rh 0.000 0.000 0.000
Se -0.178 -1.817 1.549
Se -1.672 -1.014 -1.381
Cd 0.171 -4.236 -1.247
```

Values from the calculation:
E_form (uncorrected)	0.2002	eV per atom
SG	P4/mmm (123)

***

Record 2
The following is a DFT calculation (GGA-PBE) of VCd2RhSe after structural relaxation.

```
5
Lattice="-4.017 2.009 -2.514 -0.084 -3.612 -2.751 -3.217 -2.387 3.232" Properties=species:S:1:pos:R:3 pbc="T T T"
V -0.042 -1.806 -1.375
Rh 0.000 0.000 0.000
Se -3.659 -1.995 -1.016
Cd -1.608 -1.193 1.616
Cd -2.008 1.004 -1.257
```

Values from the calculation:
E_form (uncorrected)	0.4313	eV per atom
SG	P4/mmm (123)

***

Record 3
The following is a DFT calculation (GGA-PBE) of Cd2SiRh2 after structural relaxation.

```
10
Lattice="-1.133 0.824 -5.993 -6.040 0.192 1.168 0.253 4.497 0.570" Properties=species:S:1:pos:R:3 pbc="T T T"
Si 0.000 0.000 0.000
Si -3.587 0.508 -2.413
Rh -5.498 0.447 -1.083
Rh -4.911 0.822 -4.303
Rh -1.675 0.569 -3.742
Rh -2.262 0.194 -0.522
Cd -4.057 2.509 0.086
Cd -5.684 2.955 -2.705
Cd -2.863 3.003 -4.341
Cd -1.236 2.558 -1.550
```

Values from the calculation:
E_form (uncorrected)	-0.3960	eV per atom
E above lowest polymorph	0.000	eV/atom
SG	P4/mbm (127)

***

Record 4
The following is a DFT calculation (GGA-PBE) of CdSi2Rh4 after structural relaxation.

```
28
Lattice="-0.909 -0.279 -3.850 2.602 -5.383 -0.224 -15.117 -7.479 4.111" Properties=species:S:1:pos:R:3 pbc="T T T"
Cd -7.617 -10.299 -0.518
Cd -5.806 -2.842 0.556
Cd -12.073 -9.254 2.500
Cd -1.351 -3.887 -2.462
Si -6.501 -8.054 1.098
Si -6.922 -5.087 -1.060
Si -14.576 -8.629 1.003
Si 1.153 -4.512 -0.966
Si -9.529 -11.231 2.043
Si -3.894 -1.910 -2.006
Si -10.238 -8.161 -0.055
Si -3.185 -4.980 0.092
Rh -10.001 -6.656 1.823
Rh -3.422 -6.485 -1.785
Rh -10.916 -10.358 0.265
Rh -2.507 -2.783 -0.227
Rh -8.677 -9.008 1.681
Rh -4.747 -4.133 -1.643
Rh -12.496 -7.477 0.429
Rh -0.927 -5.664 -0.391
Rh -7.825 -4.850 1.178
Rh -5.598 -8.290 -1.140
Rh -13.661 -10.987 0.958
Rh 0.237 -2.153 -0.921
Rh -5.270 -5.961 0.655
Rh -8.153 -7.180 -0.618
Rh -1.848 -0.848 -2.566
Rh -11.575 -12.293 2.603
```

Values from the calculation:
E_form (uncorrected)	-0.6055	eV per atom
SG	Pnma (62)

***

Record 5
The following is a DFT calculation (GGA-PBE) of Cd2Si2Rh after structural relaxation.

```
5
Lattice="-3.064 1.688 1.910 1.202 -1.677 3.409 2.432 4.789 3.827" Properties=species:S:1:pos:R:3 pbc="T T T"
Si -0.309 0.890 2.876
Si 0.879 3.910 6.271
Rh 0.000 0.000 0.000
Cd -0.781 3.241 4.198
Cd 1.351 1.558 4.948
```

Values from the calculation:
E_form (uncorrected)	0.5872	eV per atom
SG	I4/mmm (139)

***

Record 6
The following is a DFT calculation (GGA-PBE) of Cd2Si2Rh after structural relaxation.

```
10
Lattice="6.236 0.000 0.000 0.000 6.236 0.000 0.000 0.000 4.553" Properties=species:S:1:pos:R:3 pbc="T T T"
Si 2.285 5.403 0.000
Si 5.403 3.951 0.000
Si 3.951 0.833 0.000
Si 0.833 2.285 0.000
Rh 0.000 0.000 0.000
Rh 3.118 3.118 0.000
Cd 1.180 4.298 2.276
Cd 4.298 5.056 2.276
Cd 5.056 1.938 2.276
Cd 1.938 1.180 2.276
```

Values from the calculation:
E_form (uncorrected)	-0.0592	eV per atom
SG	P4/mbm (127)

***

- The lowest E_form (uncorrected) belongs to which entry?
  CdSi2Rh4

***

- Which of these has the highest E_form (uncorrected)?
  number 5